1.
VASP calculation (PBE) on DyY3Ho3 after structural relaxation.

Output
E above lowest polymorph in meV/atom: 112
Total DFT energy (no corrections) in eV per atom: -5.135
Energy of formation from the pure elements in eV/atom: 0.2550
Density of states at the Fermi level in states/eV/f.u.: 11.52

Lattice parameters (Å, degrees): 6.298 6.298 6.298 102.41 102.41 102.41
Fractional coordinates of all 7 atoms:
Dy: 0.000 0.000 0.000
Y: 0.452 0.852 0.852
Y: 0.852 0.452 0.852
Y: 0.852 0.852 0.452
Ho: 0.061 0.410 0.410
Ho: 0.410 0.061 0.410
Ho: 0.410 0.410 0.061

=====

2.
VASP calculation (PBE) on NaSiB after structural relaxation.

Output
Total DFT energy (no corrections) in eV per atom: -4.246
Density of states at the Fermi level in states/eV/f.u.: 1.32
Raw formation energy in eV per atom: 0.227

Lattice parameters (Å, degrees): 5.652 3.012 5.818 90.00 98.71 90.00
Fractional coordinates of all 6 atoms:
Na: 0.000 0.000 0.000
Na: 0.239 0.000 0.522
Si: 0.481 0.500 0.157
Si: 0.754 0.500 0.525
B: 0.531 0.000 0.928
B: 0.581 0.500 0.817

=====

3.
VASP calculation (PBE) on MgCd3Ag4 after structural relaxation.

Output
E above lowest polymorph in meV/atom: 167
Total DFT energy (no corrections) in eV per atom: -1.911
Energy of formation from the pure elements in eV/atom: 0.0568
Density of states at the Fermi level in states/eV/f.u.: 2.45

Lattice parameters (Å, degrees): 10.993 10.993 5.227 95.16 95.16 15.57
Fractional coordinates of all 8 atoms:
Mg: 0.000 0.000 0.000
Cd: 0.350 0.350 0.268
Cd: 0.500 0.500 0.500
Cd: 0.650 0.650 0.732
Ag: 0.267 0.267 0.751
Ag: 0.397 0.397 0.790
Ag: 0.603 0.603 0.210
Ag: 0.733 0.733 0.249